## Ca2Ga3BiAu12 (PBE)

Data for crystalline Ca2Ga3BiAu12 at its relaxed geometry.

Lattice parameters (Å, degrees): 6.9005 6.9005 30.0221 90.00 90.00 120.00
Space group R-3m (No. 166, hexagonal axes)
Inequivalent atoms, fractional coordinates:
Ca 0.0000 0.0000 0.1364 x6
Ga 0.0000 0.5000 0.0000 x9
Bi 0.0000 0.0000 0.5000 x3
Au 0.0525 0.5263 0.8907 x18
Au 0.0622 0.5311 0.6219 x18

Output
M_tot: 0.00 μB per formula unit
calculated formation energy: -208 meV per atom



## Ca2Ga3BiAu4 (PBE)

Data for crystalline Ca2Ga3BiAu4 at its relaxed geometry.

Lattice parameters (Å, degrees): 4.436 4.436 11.543 90.00 90.00 90.00
Space group P-4m2 (No. 115)
Inequivalent atoms, fractional coordinates:
Ca 0.000 0.500 0.229 x2
Ga 0.000 0.500 0.879 x2
Ga 0.500 0.500 0.500 x1
Bi 0.000 0.000 0.500 x1
Au 0.000 0.000 0.000 x1
Au 0.000 0.500 0.663 x2
Au 0.500 0.500 0.000 x1

Output
M_tot: 0.00 μB per formula unit
calculated formation energy: -501 meV per atom



## CaGdBiAu (PBE)

Data for crystalline CaGdBiAu at its relaxed geometry.

Lattice parameters (Å, degrees): 7.586 7.586 7.586 90.00 90.00 90.00
Space group F-43m (No. 216)
Inequivalent atoms, fractional coordinates:
Ca 0.000 0.000 0.000 x4
Gd 0.000 0.000 0.500 x4
Bi 0.250 0.250 0.750 x4
Au 0.250 0.250 0.250 x4

Output
M_tot: 7.11 μB per formula unit
calculated formation energy: -734 meV per atom



## Ca3Ge2BiAu9 (PBE)

Data for crystalline Ca3Ge2BiAu9 at its relaxed geometry.

Lattice parameters (Å, degrees): 8.2620 8.2620 6.5750 90.00 90.00 120.00
Space group P-3m1 (No. 164)
Inequivalent atoms, fractional coordinates:
Ca 0.0000 0.0000 0.0000 x1
Ca 0.3333 0.6667 0.6492 x2
Ge 0.3333 0.6667 0.1284 x2
Bi 0.0000 0.0000 0.5000 x1
Au 0.0000 0.5000 0.0000 x3
Au 0.1756 0.3512 0.3055 x6

Output
M_tot: 0.00 μB per formula unit
calculated formation energy: -208 meV per atom



## CaHoBiAu (PBE)

Data for crystalline CaHoBiAu at its relaxed geometry.

Lattice parameters (Å, degrees): 7.519 7.519 7.519 90.00 90.00 90.00
Space group F-43m (No. 216)
Inequivalent atoms, fractional coordinates:
Ca 0.000 0.000 0.000 x4
Ho 0.000 0.000 0.500 x4
Bi 0.250 0.250 0.750 x4
Au 0.250 0.250 0.250 x4

Output
M_tot: 0.00 μB per formula unit
calculated formation energy: -685 meV per atom



## CaBi2AuI (PBE)

Data for crystalline CaBi2AuI at its relaxed geometry.

Lattice parameters (Å, degrees): 5.532 5.532 6.042 90.00 90.00 90.00
Space group P4/mmm (No. 123)
Inequivalent atoms, fractional coordinates:
Ca 0.000 0.000 0.000 x1
Bi 0.000 0.500 0.500 x2
Au 0.000 0.000 0.500 x1
I 0.500 0.500 0.000 x1

Output
M_tot: 0.00 μB per formula unit
raw formation energy: -0.5 eV per formula unit



## CaBiAu2I (PBE)

Data for crystalline CaBiAu2I at its relaxed geometry.

Lattice parameters (Å, degrees): 5.312 5.312 6.433 90.00 90.00 90.00
Space group P4/mmm (No. 123)
Inequivalent atoms, fractional coordinates:
Ca 0.000 0.000 0.000 x1
Bi 0.000 0.000 0.500 x1
Au 0.000 0.500 0.500 x2
I 0.500 0.500 0.000 x1

Output
M_tot: 0.00 μB per formula unit
raw formation energy: -0.9 eV per formula unit



## KCaBiAu (PBE)

Data for crystalline KCaBiAu at its relaxed geometry.

Lattice parameters (Å, degrees): 7.822 7.822 7.822 90.00 90.00 90.00
Space group F-43m (No. 216)
Inequivalent atoms, fractional coordinates:
K 0.000 0.000 0.000 x4
Ca 0.000 0.000 0.500 x4
Bi 0.250 0.250 0.250 x4
Au 0.250 0.250 0.750 x4

Output
M_tot: 0.00 μB per formula unit
calculated formation energy: -422 meV per atom



## Ca6Bi2AuN (PBE)

Data for crystalline Ca6Bi2AuN at its relaxed geometry.

Lattice parameters (Å, degrees): 5.319 5.319 10.469 90.00 90.00 90.00
Space group P4/mmm (No. 123)
Inequivalent atoms, fractional coordinates:
Ca 0.000 0.000 0.219 x2
Ca 0.000 0.500 0.000 x2
Ca 0.000 0.500 0.500 x2
Bi 0.500 0.500 0.238 x2
Au 0.000 0.000 0.500 x1
N 0.000 0.000 0.000 x1

Output
M_tot: 0.00 μB per formula unit
raw formation energy: -6.9 eV per formula unit



## CaNdBiAu (PBE)

Data for crystalline CaNdBiAu at its relaxed geometry.

Lattice parameters (Å, degrees): 7.666 7.666 7.666 90.00 90.00 90.00
Space group F-43m (No. 216)
Inequivalent atoms, fractional coordinates:
Ca 0.000 0.000 0.000 x4
Nd 0.000 0.000 0.500 x4
Bi 0.250 0.250 0.250 x4
Au 0.250 0.250 0.750 x4

Output
M_tot: 0.00 μB per formula unit
calculated formation energy: -727 meV per atom



## Ca4BiAuO (PBE)

Data for crystalline Ca4BiAuO at its relaxed geometry.

Lattice parameters (Å, degrees): 4.699 4.699 16.535 90.00 90.00 90.00
Space group I4mm (No. 107)
Inequivalent atoms, fractional coordinates:
Ca 0.000 0.000 0.000 x2
Ca 0.000 0.000 0.349 x2
Ca 0.000 0.500 0.193 x4
Bi 0.000 0.000 0.550 x2
Au 0.000 0.000 0.820 x2
O 0.000 0.000 0.207 x2

Output
M_tot: 0.00 μB per formula unit
raw formation energy: -9.5 eV per formula unit



## CaBiAuO5 (PBE)

Data for crystalline CaBiAuO5 at its relaxed geometry.

Lattice parameters (Å, degrees): 8.389 10.063 6.363 90.00 120.23 90.00
Space group C2/c (No. 15)
Inequivalent atoms, fractional coordinates:
Ca 0.000 0.095 0.250 x4
Bi 0.250 0.250 0.000 x4
Au 0.000 0.435 0.250 x4
O 0.000 0.146 0.750 x4
O 0.167 0.287 0.266 x8
O 0.210 0.439 0.819 x8

Output
M_tot: 0.00 μB per formula unit
raw formation energy: -8.8 eV per formula unit



Please write out number 4 again, unchanged.
## Ca3Ge2BiAu9 (PBE)

Data for crystalline Ca3Ge2BiAu9 at its relaxed geometry.

Lattice parameters (Å, degrees): 8.2620 8.2620 6.5750 90.00 90.00 120.00
Space group P-3m1 (No. 164)
Inequivalent atoms, fractional coordinates:
Ca 0.0000 0.0000 0.0000 x1
Ca 0.3333 0.6667 0.6492 x2
Ge 0.3333 0.6667 0.1284 x2
Bi 0.0000 0.0000 0.5000 x1
Au 0.0000 0.5000 0.0000 x3
Au 0.1756 0.3512 0.3055 x6

Output
M_tot: 0.00 μB per formula unit
calculated formation energy: -208 meV per atom